! NaVAsF6 | Alexandria via LeMat-Bulk | PBE+U | optimized geometry; values from VASP
&SYSTEM
  ibrav = 0, nat = 9, ntyp = 4
/
ATOMIC_SPECIES
V 50.94 V.upf
Na 22.99 Na.upf
As 74.92 As.upf
F 19.00 F.upf
CELL_PARAMETERS angstrom
-0.601 5.422 2.377
-4.791 2.641 -0.714
-1.927 -2.918 3.436
ATOMIC_POSITIONS crystal
V 0.687 0.664 0.499
Na 0.939 0.010 0.010
As 0.298 0.361 0.435
F 0.944 0.608 0.835
F 0.758 0.907 0.315
F 0.950 0.333 0.336
F 0.430 0.029 0.664
F 0.372 0.713 0.227
F 0.624 0.375 0.678
! M_tot in μB per atom: 0.11
! Crystal system: triclinic
! E_tot in eV/atom: -5.081